# PmZn2Ir

Crystalline PmZn2Ir at its relaxed geometry (PBE, the Alexandria database).

Summary:
Energy above the most stable polymorph in this dataset: 0.203 eV/atom
Energy of formation: -294.2 meV per atom
DOS(E_F): 2.0 states/eV/f.u.
Electronic total energy: -0.319 Ry per atom
Magnetic moment: 0.00 Bohr magnetons per cell

a b c (Å): 6.607 6.607 6.607
angles (deg): 90.00 90.00 90.00
Space group Fm-3m (No. 225)
One atom of each set of equivalent atoms:
Pm1 0.000 0.000 0.000 x4
Zn1 0.250 0.250 0.250 x8
Ir1 0.000 0.000 0.500 x4